A plane-wave DFT calculation with meta-GGA SCAN was carried out for a PBEsol-optimized structure of CeAl3Pd2.

POSCAR file:
```
CeAl3Pd2
1.0
5.375 0.000 0.000
-2.687 4.655 0.000
0.000 0.000 4.197
Ce Al Pd
1 3 2
Cartesian
0.000 0.000 0.000 Ce
-1.344 2.327 2.098 Al
2.687 0.000 2.098 Al
1.344 2.327 2.098 Al
0.000 3.103 0.000 Pd
2.687 1.552 0.000 Pd
```

Results
* formation enthalpy at 0 K: -0.9278 eV/atom
* symmetry: P6/mmm